1.
SmNpS3: optimized geometry, PBE.

a b c (Å): 5.430 10.264 8.436
angles (deg): 90.00 90.00 90.00
Space group Imma (No. 74)
Asymmetric unit:
Sm (0.000, 0.000, 0.000) [4 per cell]
Np (0.000, 0.250, 0.446) [4 per cell]
S (0.000, 0.053, 0.659) [8 per cell]
S (0.000, 0.250, 0.109) [4 per cell]

Calculated values
- V: 470.2 Å³/cell
- D(E_F): 1.414 states/eV/atom
- Energy relative to the elements, uncorrected: -7.3 eV per formula unit
- Total energy: -7.4723 eV per atom
- ΔE to the lowest computed polymorph: 1.34 eV/f.u.


2.
Sm2Np3S8: optimized geometry, PBE.

a b c (Å): 9.451 13.522 4.727
angles (deg): 90.00 90.00 90.00
Space group Cmmm (No. 65)
Asymmetric unit:
Sm (0.000, 0.229, 0.000) [4 per cell]
Np (0.000, 0.500, 0.000) [2 per cell]
Np (0.232, 0.000, 0.500) [4 per cell]
S (0.000, 0.123, 0.500) [4 per cell]
S (0.000, 0.386, 0.500) [4 per cell]
S (0.237, 0.379, 0.000) [8 per cell]

Calculated values
- V: 604.2 Å³/cell
- D(E_F): 1.715 states/eV/atom
- Energy relative to the elements, uncorrected: -19.9 eV per formula unit
- Total energy: -7.7843 eV per atom
- ΔE to the lowest computed polymorph: 0.00 eV/f.u.


3.
Sm2Np2S7: optimized geometry, PBE.

a b c (Å): 3.967 14.086 8.587
angles (deg): 90.00 90.00 90.00
Space group Imm2 (No. 44)
Asymmetric unit:
Sm (0.000, 0.242, 0.000) [4 per cell]
Np (0.000, 0.000, 0.752) [2 per cell]
Np (0.000, 0.500, 0.794) [2 per cell]
S (0.000, 0.000, 0.071) [2 per cell]
S (0.000, 0.106, 0.474) [4 per cell]
S (0.000, 0.318, 0.697) [4 per cell]
S (0.000, 0.370, 0.302) [4 per cell]

Calculated values
- V: 479.9 Å³/cell
- D(E_F): 1.642 states/eV/atom
- Energy relative to the elements, uncorrected: -17.7 eV per formula unit
- Total energy: -7.4436 eV per atom


4.
SmNp4S7: optimized geometry, PBE.

a b c (Å): 13.007 3.879 11.515
angles (deg): 90.00 104.75 90.00
Space group Cm (No. 8)
Asymmetric unit:
Sm (0.000, 0.000, 0.000) [2 per cell]
Np (0.118, 0.000, 0.429) [2 per cell]
Np (0.231, 0.000, 0.843) [2 per cell]
Np (0.316, 0.500, 0.237) [2 per cell]
Np (0.416, 0.000, 0.608) [2 per cell]
S (0.071, 0.000, 0.641) [2 per cell]
S (0.120, 0.500, 0.923) [2 per cell]
S (0.159, 0.000, 0.211) [2 per cell]
S (0.273, 0.500, 0.475) [2 per cell]
S (0.349, 0.500, 0.768) [2 per cell]
S (0.376, 0.000, 0.075) [2 per cell]
S (0.462, 0.000, 0.373) [2 per cell]

Calculated values
- V: 561.8 Å³/cell
- D(E_F): 2.888 states/eV/atom
- Energy relative to the elements, uncorrected: -17.7 eV per formula unit
- Total energy: -8.5894 eV per atom


5.
SmNp3S6: optimized geometry, PBE.

a b c (Å): 10.931 3.961 11.411
angles (deg): 90.00 107.57 90.00
Space group P2_1/m (No. 11)
Asymmetric unit:
Sm (0.047, 0.250, 0.192) [2 per cell]
Np (0.157, 0.250, 0.582) [2 per cell]
Np (0.316, 0.750, 0.995) [2 per cell]
Np (0.432, 0.250, 0.334) [2 per cell]
S (0.085, 0.750, 0.405) [2 per cell]
S (0.118, 0.250, 0.962) [2 per cell]
S (0.195, 0.750, 0.747) [2 per cell]
S (0.258, 0.750, 0.225) [2 per cell]
S (0.401, 0.250, 0.562) [2 per cell]
S (0.481, 0.250, 0.114) [2 per cell]

Calculated values
- V: 471.1 Å³/cell
- D(E_F): 3.091 states/eV/atom
- Energy relative to the elements, uncorrected: -15.1 eV per formula unit
- Total energy: -8.3426 eV per atom


6.
SmNp2S6: optimized geometry, PBE.

a b c (Å): 13.400 5.111 8.883
angles (deg): 90.00 127.05 90.00
Space group C2/m (No. 12)
Asymmetric unit:
Sm (0.000, 0.000, 0.000) [2 per cell]
Np (0.182, 0.000, 0.604) [4 per cell]
S (0.039, 0.000, 0.719) [4 per cell]
S (0.133, 0.500, 0.057) [4 per cell]
S (0.240, 0.500, 0.618) [4 per cell]

Calculated values
- V: 485.6 Å³/cell
- D(E_F): 2.126 states/eV/atom
- Energy relative to the elements, uncorrected: -11.8 eV per formula unit
- Total energy: -7.4643 eV per atom


7.
Sm3NpS4: optimized geometry, PBE.

a b c (Å): 7.986 11.272 3.980
angles (deg): 90.00 90.00 90.00
Space group Cmmm (No. 65)
Asymmetric unit:
Sm (0.000, 0.000, 0.000) [2 per cell]
Sm (0.250, 0.250, 0.500) [4 per cell]
Np (0.000, 0.500, 0.000) [2 per cell]
S (0.000, 0.252, 0.000) [4 per cell]
S (0.244, 0.500, 0.500) [4 per cell]

Calculated values
- V: 358.3 Å³/cell
- D(E_F): 1.418 states/eV/atom
- Energy relative to the elements, uncorrected: -14.9 eV per formula unit
- Total energy: -7.3115 eV per atom


8.
Sm2Np3S8: optimized geometry, PBE.

a b c (Å): 13.990 7.948 6.807
angles (deg): 90.00 109.78 90.00
Space group C2/m (No. 12)
Asymmetric unit:
Sm (0.234, 0.000, 0.161) [4 per cell]
Np (0.000, 0.242, 0.500) [4 per cell]
Np (0.000, 0.500, 0.000) [2 per cell]
S (0.110, 0.000, 0.405) [4 per cell]
S (0.114, 0.500, 0.426) [4 per cell]
S (0.125, 0.268, 0.908) [8 per cell]

Calculated values
- V: 712.3 Å³/cell
- D(E_F): 2.300 states/eV/atom
- Energy relative to the elements, uncorrected: -19.9 eV per formula unit
- Total energy: -7.7799 eV per atom
- ΔE to the lowest computed polymorph: 0.06 eV/f.u.